Entry from Alexandria: an optimized crystal structure of HgTeAsI (PBE).

Its raw formation energy is -12 meV/atom. As for the calculated volume: 317.1 Å³/cell. The calculation puts the total energy at -2.42 eV per atom. Its density is 5.6 g/cm3.

It has space group Cm (No. 8), with a = 8.366 Å, b = 4.710 Å, c = 8.047 Å, α = 90.00°, β = 90.54° and γ = 90.00°. Symmetry generates all atoms from Hg at (0.000, 0.000, 0.000), Te at (0.175, 0.500, 0.618), As at (0.007, 0.000, 0.676) and I at (0.337, 0.000, 0.173).

***

Entry from Alexandria: an optimized crystal structure of LiTc3F (PBE).

Its raw formation energy is 1644 meV/atom. As for the calculated volume: 71.8 Å³/cell. The calculation puts the total energy at -5.33 eV per atom. For the offset from the most stable computed form, the calculation gives 677 meV per atom. Its density is 7.4 g/cm3.

It has space group Pm-3m (No. 221), with a = 4.157 Å, b = 4.157 Å, c = 4.157 Å, α = 90.00°, β = 90.00° and γ = 90.00°. Symmetry generates all atoms from Li at (0.000, 0.000, 0.000), Tc at (0.000, 0.000, 0.500) and F at (0.500, 0.500, 0.500).

***

Entry from Alexandria: an optimized crystal structure of Ho4BeCl5 (PBE).

Its raw formation energy is -1498 meV/atom. As for the calculated volume: 517.9 Å³/cell. The calculation puts the total energy at -4.62 eV per atom. Its density is 5.4 g/cm3.

It has space group C2/m (No. 12), with a = 17.457 Å, b = 3.757 Å, c = 8.102 Å, α = 90.00°, β = 102.93° and γ = 90.00°. Symmetry generates all atoms from Ho at (0.001, 0.000, 0.270), Ho at (0.151, 0.500, 0.584), Be at (0.000, 0.500, 0.500), Cl at (0.000, 0.500, 0.000), Cl at (0.165, 0.000, 0.832) and Cl at (0.175, 0.000, 0.347).

***

Entry from Alexandria: an optimized crystal structure of Ba2SrRe (PBE).

As for the calculated volume: 278.7 Å³/cell. The calculation puts the total energy at -3.47 eV per atom. For the offset from the most stable computed form, the calculation gives 186 meV per atom. Its density is 6.5 g/cm3.

It has space group I4/mmm (No. 139), with a = 5.488 Å, b = 5.488 Å, c = 9.253 Å, α = 90.00°, β = 90.00° and γ = 90.00°. Symmetry generates all atoms from Ba at (0.000, 0.500, 0.250), Sr at (0.000, 0.000, 0.000) and Re at (0.000, 0.000, 0.500).

***

Entry from Alexandria: an optimized crystal structure of Na2In (PBE).

As for the calculated volume: 83.2 Å³/cell. The calculation puts the total energy at -1.87 eV per atom. Its density is 3.2 g/cm3.

It has space group P-3m1 (No. 164), with a = 5.5205 Å, b = 5.5205 Å, c = 3.1504 Å, α = 90.00°, β = 90.00° and γ = 120.00°. Symmetry generates all atoms from Na at (0.3333, 0.6667, 0.4412) and In at (0.0000, 0.0000, 0.0000).

***

Entry from Alexandria: an optimized crystal structure of PrEr2Ir (PBE).

As for the calculated volume: 436.7 Å³/cell. The calculation puts the total energy at -6.21 eV per atom. For the offset from the most stable computed form, the calculation gives 29 meV per atom. Its density is 10.2 g/cm3.

It has space group Cmcm (No. 63), with a = 3.871 Å, b = 12.363 Å, c = 9.125 Å, α = 90.00°, β = 90.00° and γ = 90.00°. Symmetry generates all atoms from Pr at (0.000, 0.069, 0.250), Er at (0.000, 0.355, 0.067) and Ir at (0.000, 0.246, 0.750).

***

Entry from Alexandria: an optimized crystal structure of Tm3ZnAg (PBE).

As for the calculated volume: 484.1 Å³/cell. The calculation puts the total energy at -3.76 eV per atom. For the offset from the most stable computed form, the calculation gives 0 meV per atom. Its density is 9.3 g/cm3.

It has space group Cmcm (No. 63), with a = 5.020 Å, b = 19.193 Å, c = 5.024 Å, α = 90.00°, β = 90.00° and γ = 90.00°. Symmetry generates all atoms from Tm at (0.000, 0.064, 0.250), Tm at (0.000, 0.249, 0.250), Tm at (0.000, 0.434, 0.250), Zn at (0.000, 0.156, 0.750) and Ag at (0.000, 0.341, 0.750).

***

Entry from Alexandria: an optimized crystal structure of OsPb2Se (PBE).

Its raw formation energy is 903 meV/atom. As for the calculated volume: 90.2 Å³/cell. The calculation puts the total energy at -4.63 eV per atom. Its density is 12.6 g/cm3.

It has space group Pmmm (No. 47), with a = 3.492 Å, b = 4.889 Å, c = 5.282 Å, α = 90.00°, β = 90.00° and γ = 90.00°. Symmetry generates all atoms from Os at (0.000, 0.000, 0.000), Pb at (0.000, 0.500, 0.500), Pb at (0.500, 0.500, 0.000) and Se at (0.500, 0.000, 0.500).

***

Q: Which value of calculated volume does entry 1 give?
A: 317.1 Å³/cell